# 1
Computed, not measured: a relaxed structure of PmYBeCu at the GGA-PBE level of DFT.

The formation enthalpy at 0 K is -2.0 kJ per mole of atoms. As for the calculated density: 5.93 g cm⁻³.

a = 4.952 Å, b = 4.952 Å, c = 4.952 Å
α = 60.00°, β = 60.00°, γ = 60.00°
Atoms (fractional coordinates):
Cu1 0.000 0.000 0.000
Be1 0.500 0.500 0.500
Pm1 0.250 0.250 0.250
Y1 0.750 0.750 0.750

=====

# 2
Computed, not measured: a relaxed structure of AcTbO3 at the GGA-PBE level of DFT.

Its formation energy (no corrections) is -3401 meV per atom. As for the calculated density: 7.12 g cm⁻³.

a = 4.098 Å, b = 6.018 Å, c = 9.271 Å
α = 117.64°, β = 90.00°, γ = 90.00°
Atoms (fractional coordinates):
Tb1 0.750 0.831 0.167
O1 0.250 0.941 0.117
O2 0.750 0.199 0.379
O3 0.750 0.674 0.338
O4 0.250 0.862 0.662
O5 0.750 0.595 0.883
O6 0.250 0.337 0.621
Ac1 0.250 0.433 0.386
Tb2 0.250 0.705 0.833
Ac2 0.750 0.103 0.614

=====

# 3
Computed, not measured: a relaxed structure of Cs3RbCd3 at the GGA-PBE level of DFT.

The formation enthalpy at 0 K is -4.9 kJ per mole of atoms. As for the calculated density: 2.95 g cm⁻³. Its energy above the most stable polymorph in this dataset is 0 kJ/mol of formula units.

a = 5.184 Å, b = 14.342 Å, c = 14.342 Å
α = 120.00°, β = 90.00°, γ = 90.00°
Atoms (fractional coordinates):
Cd1 0.250 0.878 0.010
Rb1 0.250 0.667 0.333
Cd2 0.750 0.010 0.132
Cs1 0.250 0.024 0.339
Cd3 0.750 0.868 0.878
Cs2 0.750 0.976 0.661
Cs3 0.250 0.661 0.685
Cs4 0.250 0.315 0.976
Cd4 0.250 0.132 0.122
Cd5 0.250 0.990 0.868
Cs5 0.750 0.339 0.315
Cd6 0.750 0.122 0.990
Rb2 0.750 0.333 0.667
Cs6 0.750 0.685 0.024

=====

# 4
Computed, not measured: a relaxed structure of MnTc2 at the GGA-PBE level of DFT.

The formation enthalpy at 0 K is 0.0 kJ per mole of atoms. As for the calculated density: 10.26 g cm⁻³. Its energy above the most stable polymorph in this dataset is 0 kJ/mol of formula units.

a = 4.635 Å, b = 4.785 Å, c = 4.785 Å
α = 103.56°, β = 118.97°, γ = 61.03°
Atoms (fractional coordinates):
Mn1 0.750 0.000 0.000
Mn2 0.250 0.000 0.000
Tc1 0.850 0.800 0.500
Tc2 0.150 0.200 0.500
Tc3 0.650 0.500 0.800
Tc4 0.350 0.500 0.200

=====

# 5
Computed, not measured: a relaxed structure of GaOF3 at the GGA-PBE level of DFT.

Its formation energy (no corrections) is -1936 meV per atom. As for the calculated density: 2.82 g cm⁻³. Its energy above the most stable polymorph in this dataset is 0 kJ/mol of formula units.

a = 5.337 Å, b = 8.552 Å, c = 8.552 Å
α = 118.81°, β = 95.65°, γ = 95.65°
Atoms (fractional coordinates):
F1 0.023 0.823 0.333
F2 0.971 0.998 0.823
Ga1 0.250 0.168 0.832
F3 0.477 0.667 0.177
F4 0.448 0.999 0.668
F5 0.948 0.668 0.999
F6 0.029 0.002 0.177
F7 0.529 0.177 0.002
F8 0.552 0.001 0.332
Ga2 0.750 0.832 0.168
F9 0.523 0.333 0.823
O1 0.984 0.478 0.419
Ga3 0.250 0.830 0.170
F10 0.471 0.823 0.998
F11 0.052 0.332 0.001
O2 0.484 0.419 0.478
Ga4 0.750 0.170 0.830
O3 0.016 0.522 0.581
O4 0.516 0.581 0.522
F12 0.977 0.177 0.667

=====

# 6
Computed, not measured: a relaxed structure of CeSc4Tl2 at the GGA-PBE level of DFT.

The formation enthalpy at 0 K is -11.3 kJ per mole of atoms. As for the calculated density: 6.45 g cm⁻³.

a = 4.889 Å, b = 8.758 Å, c = 8.758 Å
α = 90.00°, β = 90.00°, γ = 90.00°
Atoms (fractional coordinates):
Tl1 0.500 0.287 0.287
Sc1 0.000 0.905 0.644
Sc2 0.500 0.595 0.144
Sc3 0.500 0.144 0.595
Sc4 0.500 0.856 0.405
Tl2 0.500 0.713 0.713
Sc5 0.000 0.644 0.905
Ce1 0.500 0.000 0.000
Ce2 0.000 0.500 0.500
Sc6 0.000 0.356 0.095
Sc7 0.000 0.095 0.356
Sc8 0.500 0.405 0.856
Tl3 0.000 0.213 0.787
Tl4 0.000 0.787 0.213

=====

# 7
Computed, not measured: a relaxed structure of Th2Mg6Cd at the GGA-PBE level of DFT.

The formation enthalpy at 0 K is 1.5 kJ per mole of atoms. As for the calculated density: 5.17 g cm⁻³.

a = 3.213 Å, b = 9.132 Å, c = 9.132 Å
α = 59.99°, β = 89.97°, γ = 89.97°
Atoms (fractional coordinates):
Mg1 0.499 0.672 0.000
Mg2 0.499 0.000 0.672
Mg3 0.500 0.672 0.328
Mg4 0.500 0.328 0.672
Th1 0.000 0.333 0.333
Cd1 0.000 0.000 0.000
Mg5 0.501 0.328 0.000
Th2 0.000 0.667 0.667
Mg6 0.501 0.000 0.328

=====

# 8
Computed, not measured: a relaxed structure of MnIn2Ni at the GGA-PBE level of DFT.

The formation enthalpy at 0 K is 9.3 kJ per mole of atoms. As for the calculated density: 8.51 g cm⁻³.

a = 4.510 Å, b = 4.510 Å, c = 3.293 Å
α = 90.00°, β = 90.00°, γ = 90.00°
Atoms (fractional coordinates):
Ni1 0.000 0.500 0.500
In1 0.000 0.000 0.000
In2 0.500 0.500 0.000
Mn1 0.500 0.000 0.500

=====

# 9
Computed, not measured: a relaxed structure of Ac3Tb3Pr2 at the GGA-PBE level of DFT.

The formation enthalpy at 0 K is 17.0 kJ per mole of atoms. As for the calculated density: 7.77 g cm⁻³.

a = 6.831 Å, b = 10.200 Å, c = 10.200 Å
α = 60.00°, β = 90.00°, γ = 90.00°
Atoms (fractional coordinates):
Ac1 0.750 0.000 0.232
Pr1 0.500 0.667 0.667
Pr2 0.500 0.333 0.333
Pr3 0.000 0.333 0.333
Tb1 0.750 0.000 0.587
Tb2 0.250 0.000 0.413
Tb3 0.250 0.413 0.587
Ac2 0.750 0.232 0.768
Ac3 0.250 0.000 0.768
Pr4 0.000 0.667 0.667
Tb4 0.250 0.587 0.000
Tb5 0.750 0.413 0.000
Ac4 0.250 0.768 0.232
Tb6 0.750 0.587 0.413
Ac5 0.750 0.768 0.000
Ac6 0.250 0.232 0.000

=====

# 10
Computed, not measured: a relaxed structure of CrNiIr2 at the GGA-PBE level of DFT.

The formation enthalpy at 0 K is 9.2 kJ per mole of atoms. As for the calculated density: 15.64 g cm⁻³.

a = 5.082 Å, b = 5.082 Å, c = 5.082 Å
α = 147.98°, β = 130.36°, γ = 60.30°
Atoms (fractional coordinates):
Cr1 0.268 0.768 0.500
Ir1 0.730 0.230 0.500
Ni1 0.488 0.488 0.000
Ir2 0.013 0.013 0.000

=====

# 11
Computed, not measured: a relaxed structure of TaVGa at the GGA-PBE level of DFT.

The formation enthalpy at 0 K is 102.6 kJ per mole of atoms. As for the calculated density: 8.53 g cm⁻³. Its energy above the most stable polymorph in this dataset is 370 kJ/mol of formula units.

a = 4.465 Å, b = 5.132 Å, c = 5.132 Å
α = 86.44°, β = 90.00°, γ = 90.00°
Atoms (fractional coordinates):
V1 0.500 0.500 0.500
Ta1 0.000 0.319 0.319
Ga1 0.500 0.831 0.169
Ta2 0.000 0.681 0.681
Ga2 0.500 0.169 0.831
V2 0.000 0.000 0.000

=====

# 12
Computed, not measured: a relaxed structure of TeOsCl2 at the GGA-PBE level of DFT.

Its formation energy (no corrections) is 356 meV per atom. As for the calculated density: 6.39 g cm⁻³. Its energy above the most stable polymorph in this dataset is 155 kJ/mol of formula units.

a = 3.228 Å, b = 3.228 Å, c = 11.761 Å
α = 90.00°, β = 90.00°, γ = 124.53°
Atoms (fractional coordinates):
Te1 0.500 0.500 0.750
Os1 0.500 0.500 0.250
Cl1 0.000 0.000 0.407
Cl2 0.000 0.000 0.093

=====

# 13
Computed, not measured: a relaxed structure of KZn2RhF8 at the GGA-PBE level of DFT.

Its formation energy (no corrections) is -1913 meV per atom. As for the calculated density: 3.83 g cm⁻³.

a = 4.904 Å, b = 4.904 Å, c = 9.276 Å
α = 74.67°, β = 74.67°, γ = 60.00°
Atoms (fractional coordinates):
Zn1 0.238 0.238 0.285
F1 0.782 0.386 0.655
Rh1 0.500 0.500 0.500
F2 0.691 0.691 0.926
F3 0.386 0.177 0.655
K1 0.000 0.000 0.000
F4 0.309 0.309 0.074
F5 0.823 0.614 0.345
F6 0.614 0.218 0.345
F7 0.218 0.823 0.345
Zn2 0.762 0.762 0.715
F8 0.177 0.782 0.655

=====

# 14
Computed, not measured: a relaxed structure of CrTe2Ru at the GGA-PBE level of DFT.

Its formation energy (no corrections) is 249 meV per atom. As for the calculated density: 7.22 g cm⁻³. Its energy above the most stable polymorph in this dataset is 116 kJ/mol of formula units.

a = 7.417 Å, b = 7.417 Å, c = 7.417 Å
α = 153.49°, β = 148.89°, γ = 41.32°
Atoms (fractional coordinates):
Te1 0.005 0.005 0.000
Te2 0.755 0.255 0.500
Cr1 0.563 0.563 0.000
Ru1 0.177 0.677 0.500

=====

# 15
Computed, not measured: a relaxed structure of GaNF at the GGA-PBE level of DFT.

Its formation energy (no corrections) is -996 meV per atom. As for the calculated density: 5.46 g cm⁻³. Its energy above the most stable polymorph in this dataset is 12 kJ/mol of formula units.

a = 5.080 Å, b = 3.328 Å, c = 7.413 Å
α = 90.00°, β = 94.87°, γ = 90.00°
Atoms (fractional coordinates):
Ga1 0.214 0.000 0.326
N1 0.955 0.500 0.592
Ga2 0.786 0.000 0.674
Ga3 0.786 0.500 0.174
N2 0.955 0.000 0.092
F1 0.597 0.000 0.357
N3 0.045 0.000 0.908
F2 0.403 0.000 0.643
F3 0.597 0.500 0.857
F4 0.403 0.500 0.143
N4 0.045 0.500 0.408
Ga4 0.214 0.500 0.826

=====

# 16
Computed, not measured: a relaxed structure of Nd6Dy12Ho at the GGA-PBE level of DFT.

The formation enthalpy at 0 K is 20.6 kJ per mole of atoms. As for the calculated density: 7.67 g cm⁻³. Its energy above the most stable polymorph in this dataset is 163 kJ/mol of formula units.

a = 8.755 Å, b = 8.755 Å, c = 8.755 Å
α = 98.72°, β = 98.72°, γ = 98.72°
Atoms (fractional coordinates):
Dy1 0.757 0.500 0.243
Dy2 0.243 0.500 0.757
Dy3 0.355 0.355 0.082
Nd1 0.343 0.904 0.904
Dy4 0.500 0.757 0.243
Nd2 0.904 0.904 0.343
Dy5 0.645 0.918 0.645
Nd3 0.657 0.096 0.096
Nd4 0.904 0.343 0.904
Nd5 0.096 0.096 0.657
Dy6 0.757 0.243 0.500
Dy7 0.645 0.645 0.918
Dy8 0.918 0.645 0.645
Dy9 0.243 0.757 0.500
Ho1 0.000 0.000 0.000
Dy10 0.355 0.082 0.355
Dy11 0.500 0.243 0.757
Dy12 0.082 0.355 0.355
Nd6 0.096 0.657 0.096

=====

# 17
Computed, not measured: a relaxed structure of CoNi5Ir at the GGA-PBE level of DFT.

The formation enthalpy at 0 K is 19.7 kJ per mole of atoms. As for the calculated density: 10.32 g cm⁻³.

a = 4.321 Å, b = 4.321 Å, c = 4.991 Å
α = 90.00°, β = 90.00°, γ = 109.86°
Atoms (fractional coordinates):
Ir1 0.000 0.000 0.000
Ni1 0.000 0.500 0.751
Ni2 0.500 0.000 0.751
Co1 0.500 0.500 0.500
Ni3 0.000 0.000 0.500
Ni4 0.500 0.000 0.249
Ni5 0.000 0.500 0.249

=====

# 18
Computed, not measured: a relaxed structure of KNdCdCl6 at the GGA-PBE level of DFT.

Its formation energy (no corrections) is -1825 meV per atom. As for the calculated density: 2.84 g cm⁻³.

a = 7.057 Å, b = 7.057 Å, c = 13.802 Å
α = 90.00°, β = 90.00°, γ = 120.00°
Atoms (fractional coordinates):
Cl1 0.374 0.365 0.862
Cl2 0.626 0.991 0.362
Cl3 0.374 0.009 0.638
Cl4 0.635 0.009 0.862
K1 0.000 0.000 0.500
Nd1 0.667 0.333 0.250
Cl5 0.991 0.365 0.638
K2 0.000 0.000 0.000
Cd1 0.667 0.333 0.750
Cl6 0.991 0.626 0.862
Cl7 0.626 0.635 0.138
Cd2 0.333 0.667 0.250
Cl8 0.365 0.991 0.138
Cl9 0.009 0.635 0.362
Cl10 0.009 0.374 0.138
Nd2 0.333 0.667 0.750
Cl11 0.635 0.626 0.638
Cl12 0.365 0.374 0.362

=====

# 19
Computed, not measured: a relaxed structure of AcTb2Y6 at the GGA-PBE level of DFT.

The formation enthalpy at 0 K is 6.6 kJ per mole of atoms. As for the calculated density: 5.98 g cm⁻³. Its energy above the most stable polymorph in this dataset is 0 kJ/mol of formula units.

a = 5.742 Å, b = 12.004 Å, c = 12.004 Å
α = 48.55°, β = 103.85°, γ = 103.85°
Atoms (fractional coordinates):
Y1 0.582 0.582 0.082
Tb1 0.978 0.333 0.167
Y2 0.082 0.082 0.582
Y3 0.847 0.169 0.003
Y4 0.153 0.831 0.997
Y5 0.176 0.497 0.331
Y6 0.347 0.003 0.169
Y7 0.676 0.331 0.497
Tb2 0.022 0.667 0.833
Y8 0.918 0.918 0.418
Tb3 0.478 0.167 0.333
Y9 0.418 0.418 0.918
Y10 0.324 0.669 0.503
Y11 0.653 0.997 0.831
Ac1 0.250 0.250 0.750
Tb4 0.522 0.833 0.667
Ac2 0.750 0.750 0.250
Y12 0.824 0.503 0.669

=====

# 20
Computed, not measured: a relaxed structure of LiScPa2Se4 at the GGA-PBE level of DFT.

Its formation energy (no corrections) is -1349 meV per atom. As for the calculated density: 7.84 g cm⁻³.

a = 3.804 Å, b = 6.592 Å, c = 7.335 Å
α = 107.22°, β = 90.00°, γ = 90.00°
Atoms (fractional coordinates):
Pa1 0.000 0.500 0.500
Li1 0.500 0.500 0.000
Sc1 0.000 0.000 0.000
Se1 0.000 0.739 0.224
Se2 0.000 0.261 0.776
Se3 0.500 0.754 0.776
Pa2 0.500 0.000 0.500
Se4 0.500 0.246 0.224

=====

# 21
Computed, not measured: a relaxed structure of PaAg2Se4 at the GGA-PBE level of DFT.

Its formation energy (no corrections) is -588 meV per atom. As for the calculated density: 7.51 g cm⁻³. Its energy above the most stable polymorph in this dataset is 41 kJ/mol of formula units.

a = 3.970 Å, b = 6.907 Å, c = 12.850 Å
α = 90.00°, β = 90.00°, γ = 106.70°
Atoms (fractional coordinates):
Pa1 0.383 0.767 0.250
Se1 0.500 0.000 0.000
Pa2 0.617 0.233 0.750
Ag1 0.129 0.258 0.432
Se2 0.789 0.578 0.122
Se3 0.037 0.073 0.250
Se4 0.211 0.422 0.622
Se5 0.211 0.422 0.878
Ag2 0.871 0.742 0.568
Se6 0.500 0.000 0.500
Se7 0.963 0.927 0.750
Ag3 0.871 0.742 0.932
Ag4 0.129 0.258 0.068
Se8 0.789 0.578 0.378

=====

# 22
Computed, not measured: a relaxed structure of ScNi2Br at the GGA-PBE level of DFT.

Its formation energy (no corrections) is -214 meV per atom. As for the calculated density: 6.15 g cm⁻³. Its energy above the most stable polymorph in this dataset is 65 kJ/mol of formula units.

a = 3.427 Å, b = 3.427 Å, c = 5.572 Å
α = 90.00°, β = 90.00°, γ = 89.98°
Atoms (fractional coordinates):
Br1 0.500 0.500 0.750
Sc1 0.500 0.500 0.250
Ni1 0.000 0.000 0.033
Ni2 0.000 0.000 0.467